1:
The following is a DFT calculation (PBE-GGA) of crystalline Tc2BiPb at its relaxed geometry.

a = 4.7652 Å, b = 4.7652 Å, c = 4.7652 Å
α = 60.00°, β = 60.00°, γ = 60.00°
Positions (direct):
Tc1 0.2500 0.2500 0.2500
Tc2 0.7500 0.7500 0.7500
Bi1 0.0000 0.0000 0.0000
Pb1 0.5000 0.5000 0.5000

=====

2:
The following is a DFT calculation (PBE-GGA) of crystalline Tc2BiPb at its relaxed geometry.

a = 6.2427 Å, b = 6.2427 Å, c = 6.2427 Å
α = 104.58°, β = 104.58°, γ = 119.78°
Positions (direct):
Tc1 0.1234 0.6250 0.9984
Tc2 0.3750 0.3734 0.4984
Tc3 0.6266 0.1250 0.0016
Tc4 0.8750 0.8766 0.5016
Bi1 0.0000 0.0000 0.0000
Bi2 0.7500 0.2500 0.5000
Pb1 0.2500 0.7500 0.5000
Pb2 0.5000 0.5000 0.0000

=====

Stability check: which of them is least stable? 2.